1.
{"formula": "NaSrMoIr", "functional": "GGA-PBE", "state": "relaxed", "cell": [[0.000, 3.385, 3.385], [3.385, 0.000, 3.385], [3.385, 3.385, 0.000]], "species": ["Ir", "Mo", "Na", "Sr"], "frac_coords": [[0.000, 0.000, 0.000], [0.250, 0.250, 0.250], [0.750, 0.750, 0.750], [0.500, 0.500, 0.500]], "de_polymorph_ev_per_atom": 0.000, "energy_ev_per_atom": -4.941}


2.
{"formula": "NaSrMoIr", "functional": "GGA-PBE", "state": "relaxed", "cell": [[0.000, 3.429, 3.429], [3.429, 0.000, 3.429], [3.429, 3.429, 0.000]], "species": ["Ir", "Mo", "Na", "Sr"], "frac_coords": [[0.250, 0.250, 0.250], [0.000, 0.000, 0.000], [0.750, 0.750, 0.750], [0.500, 0.500, 0.500]], "de_polymorph_ev_per_atom": 0.023, "energy_ev_per_atom": -4.918}